Here is an optimized crystal structure of SnPbWO6 from Alexandria via LeMat-Bulk. Energies are from GGA+U.

Total magnetic moment (μB per formula unit): 0.00
Total DFT energy (no corrections) (eV per cell): -119.86
Fermi-level density of states (states/eV/f.u.): 0.00
Symmetry: P-31c

Geometry as extended XYZ:
```
18
Lattice="5.444 0.000 0.000 -2.722 4.714 0.000 0.000 0.000 10.702" Properties=species:S:1:pos:R:3 pbc="T T T"
O -0.644 4.630 6.917
O 0.644 4.630 9.136
Pb 0.000 0.000 5.351
O -0.966 1.842 6.917
W 0.000 3.143 8.027
Pb 0.000 0.000 0.000
Sn 2.722 1.571 8.027
W 2.722 1.571 2.676
O 2.078 0.084 1.566
Sn 0.000 3.143 2.676
O 1.112 1.758 3.785
O -1.610 2.957 9.136
O 3.688 2.873 3.785
O 1.756 2.873 1.566
O 0.966 1.842 9.136
O 3.366 0.084 3.785
O 4.332 1.758 1.566
O 1.610 2.957 6.917
```